! GaNiSe2Br, relaxed, DFT GGA-PBE; values from VASP
&SYSTEM
  ibrav = 0, nat = 5, ntyp = 4
/
ATOMIC_SPECIES
Se 78.96 Se.upf
Ni 58.69 Ni.upf
Br 79.90 Br.upf
Ga 69.72 Ga.upf
ATOMIC_POSITIONS crystal
Se 0.0000 0.5000 0.0000
Ni 0.0000 0.0000 0.0000
Se 0.5000 0.0000 0.0000
Br 0.0000 0.0000 0.5000
Ga 0.5000 0.5000 0.5000
CELL_PARAMETERS angstrom
-2.9434 -2.2222 -2.9096
-0.4539 -3.4830 3.1193
-4.1085 2.5283 2.2253
! - Space group: P4/mmm
! - Size of the total moment: 0.9 μB per formula unit
! - Energy above the most stable polymorph in this dataset: 0 meV per atom
! - DOS(E_F): 6.4 states/eV/f.u.
! - Formation energy from raw total energies: 84 meV/atom